Computed, not measured: AcEuBiPt after structural relaxation at the PBE-GGA level of DFT. Values from VASP.

Structure (Quantum ESPRESSO input):
```
&SYSTEM
  ibrav = 0, nat = 4, ntyp = 4
/
ATOMIC_SPECIES
Pt 195.08 Pt.upf
Eu 151.96 Eu.upf
Ac 227.00 Ac.upf
Bi 208.98 Bi.upf
ATOMIC_POSITIONS crystal
Pt 0.750 0.750 0.750
Eu 0.000 0.000 0.000
Ac 0.500 0.500 0.500
Bi 0.250 0.250 0.250
CELL_PARAMETERS angstrom
5.541 0.000 0.000
2.770 4.798 0.000
2.770 1.599 4.524
```

Properties
Uncorrected energy = -6.901 eV/atom
Energy of formation = -0.83 eV/atom
V = 30.07 A^3/atom